Density functional theory data (GGA-PBE) for crystalline LaHoGaHg at its relaxed geometry.

Cell: 7.520 7.520 7.520 Å, 90.00 90.00 90.00°
Space group F-43m (No. 216)
Symmetry-distinct sites (fractional):
1 La 0.000 0.000 0.000 (multiplicity 4)
2 Ho 0.000 0.000 0.500 (multiplicity 4)
3 Ga 0.250 0.250 0.750 (multiplicity 4)
4 Hg 0.250 0.250 0.250 (multiplicity 4)

Properties
energy of formation from the pure elements: -0.5007 eV per atom
total moment: 0.01 Bohr magnetons per cell



Density functional theory data (GGA-PBE) for crystalline TaBePt2 at its relaxed geometry.

Cell: 2.816 3.746 5.734 Å, 90.00 90.00 90.00°
Space group Pmm2 (No. 25)
Symmetry-distinct sites (fractional):
1 Ta 0.000 0.000 0.000 (multiplicity 1)
2 Be 0.500 0.500 0.331 (multiplicity 1)
3 Pt 0.000 0.000 0.445 (multiplicity 1)
4 Pt 0.500 0.500 0.766 (multiplicity 1)

Properties
energy of formation from the pure elements: -0.4442 eV per atom
total moment: 0.00 Bohr magnetons per cell



Density functional theory data (GGA-PBE) for crystalline Hf2ZnNi6 at its relaxed geometry.

Cell: 5.0844 5.0844 5.3923 Å, 90.00 90.00 120.00°
Space group P-3m1 (No. 164)
Symmetry-distinct sites (fractional):
1 Hf 0.3333 0.6667 0.1590 (multiplicity 2)
2 Zn 0.0000 0.0000 0.0000 (multiplicity 1)
3 Ni 0.1764 0.3529 0.6720 (multiplicity 6)

Properties
energy of formation from the pure elements: -0.3715 eV per atom
total moment: 0.00 Bohr magnetons per cell



Density functional theory data (GGA-PBE) for crystalline BaTe3C at its relaxed geometry.

Cell: 6.785 6.785 6.785 Å, 90.00 90.00 90.00°
Space group Pm-3m (No. 221)
Symmetry-distinct sites (fractional):
1 Ba 0.000 0.000 0.000 (multiplicity 1)
2 Te 0.000 0.000 0.500 (multiplicity 3)
3 C 0.500 0.500 0.500 (multiplicity 1)

Properties
uncorrected formation energy: 160 kJ per mole of atoms
total moment: 2.00 Bohr magnetons per cell



Density functional theory data (GGA-PBE) for crystalline CsC2I at its relaxed geometry.

Cell: 6.900 6.900 8.067 Å, 90.00 90.00 90.00°
Space group I-42d (No. 122)
Symmetry-distinct sites (fractional):
1 Cs 0.000 0.000 0.000 (multiplicity 4)
2 C 0.133 0.250 0.625 (multiplicity 8)
3 I 0.000 0.000 0.500 (multiplicity 4)

Properties
uncorrected formation energy: 211 kJ per mole of atoms
total moment: 0.00 Bohr magnetons per cell



Density functional theory data (GGA-PBE) for crystalline CuHgSe2 at its relaxed geometry.

Cell: 3.1469 3.1469 31.3713 Å, 90.00 90.00 120.00°
Space group R3m (No. 160, hexagonal axes)
Symmetry-distinct sites (fractional):
1 Cu 0.0000 0.0000 0.0000 (multiplicity 3)
2 Hg 0.0000 0.0000 0.7348 (multiplicity 3)
3 Se 0.0000 0.0000 0.2800 (multiplicity 3)
4 Se 0.0000 0.0000 0.4861 (multiplicity 3)

Properties
uncorrected formation energy: 28 kJ per mole of atoms
total moment: 0.00 Bohr magnetons per cell